Record 1
Here is La2NiOsN after structural relaxation from Alexandria. Energies are from GGA-PBE.

Calculated values
DFT total energy in eV per atom: -7.5296
Formation energy from raw total energies in eV per formula unit: -2.5
N(E_F) in states/eV/cell: 3.07
Crystal system: tetragonal
Size of the total moment in μB/f.u.: 0.00

CIF file:
```
data_La2NiOsN
_chemical_formula_sum 'La2 Ni1 Os1 N1'
_symmetry_space_group_name_H-M 'P 4/m m m'
_symmetry_Int_Tables_number 123
_symmetry_space_group_name_Hall '-P 4 2'
_cell_length_a 5.223
_cell_length_b 5.223
_cell_length_c 3.799
_cell_angle_alpha 90.00
_cell_angle_beta 90.00
_cell_angle_gamma 90.00
loop_
_atom_site_label
_atom_site_fract_x
_atom_site_fract_y
_atom_site_fract_z
La1 0.000 0.500 0.000
Ni1 0.000 0.000 0.500
Os1 0.500 0.500 0.500
N1 0.500 0.500 0.000
```

---

Record 2
Here is Nb2CoMoP after structural relaxation from Alexandria. Energies are from GGA-PBE.

Calculated values
DFT total energy in eV per atom: -7.2646
N(E_F) in states/eV/cell: 9.82
Crystal system: tetragonal
Size of the total moment in μB/f.u.: 0.00

CIF file:
```
data_Nb2CoMoP
_chemical_formula_sum 'Nb2 Co1 Mo1 P1'
_symmetry_space_group_name_H-M 'P 4/m m m'
_symmetry_Int_Tables_number 123
_symmetry_space_group_name_Hall '-P 4 2'
_cell_length_a 4.826
_cell_length_b 4.826
_cell_length_c 4.465
_cell_angle_alpha 90.00
_cell_angle_beta 90.00
_cell_angle_gamma 90.00
loop_
_atom_site_label
_atom_site_fract_x
_atom_site_fract_y
_atom_site_fract_z
Nb1 0.000 0.500 0.000
Co1 0.000 0.000 0.500
Mo1 0.500 0.500 0.000
P1 0.500 0.500 0.500
```